[1]
Entry from Alexandria: a geometry-optimized Ga2PbCl2F6 structure (GGA-PBE).

Cell and atoms, written as POSCAR:
```
Ga2PbCl2F6
1.0
-1.490 2.692 5.824
-3.793 -4.776 -2.487
3.675 -4.488 3.015
Cl Ga F Pb
2 2 6 1
direct
0.333 0.667 0.372
0.667 0.333 0.628
0.667 0.333 0.301
0.333 0.667 0.699
0.374 0.187 0.191
0.187 0.374 0.809
0.626 0.813 0.809
0.187 0.813 0.809
0.813 0.187 0.191
0.813 0.626 0.191
0.000 0.000 0.000
```

## Properties
The value obtained for the formation energy without anion corrections is -2.19 eV per atom. The symmetry is P-3m1 (164).

=====

[2]
Entry from Alexandria: a geometry-optimized TcTe2NCl structure (GGA-PBE).

Cell and atoms, written as POSCAR:
```
TcTe2NCl
1.0
-3.798 -1.940 3.395
2.939 -4.537 0.696
1.752 1.573 2.859
Tc Te N Cl
1 2 1 1
direct
0.000 0.000 0.000
0.500 0.000 0.000
0.000 0.500 0.000
0.000 0.000 0.500
0.500 0.500 0.500
```

## Properties
The energy above the most stable polymorph in this dataset comes out at 0.0 meV per atom. The value obtained for the formation energy without anion corrections is 0.29 eV per atom. The symmetry is P4/mmm (123).

=====

[3]
Entry from Alexandria: a geometry-optimized Pm6Mg2C structure (GGA-PBE).

Cell and atoms, written as POSCAR:
```
Pm6Mg2C
1.0
7.221 0.000 -0.191
0.000 7.225 0.000
0.268 0.000 10.190
C Pm Mg
2 12 4
direct
0.500 0.500 0.000
0.000 0.000 0.500
0.758 0.242 0.500
0.242 0.242 0.500
0.501 0.500 0.243
0.499 0.500 0.757
0.001 0.000 0.743
0.258 0.258 0.000
0.242 0.758 0.500
0.742 0.742 0.000
0.258 0.742 0.000
0.742 0.258 0.000
0.999 0.000 0.257
0.758 0.758 0.500
0.500 0.000 0.250
0.000 0.500 0.250
0.000 0.500 0.750
0.500 0.000 0.750
```

## Properties
The symmetry is C2/m (12).

=====

[4]
Entry from Alexandria: a geometry-optimized TaMnOsPb2 structure (GGA-PBE).

Cell and atoms, written as POSCAR:
```
TaMnOsPb2
1.0
5.444 0.000 0.000
0.000 4.504 0.000
0.000 0.000 5.444
Pb Ta Os Mn
2 1 1 1
direct
0.000 0.000 0.500
0.500 0.000 0.000
0.000 0.000 0.000
0.500 0.500 0.500
0.000 0.500 0.000
```

## Properties
The symmetry is P4/mmm (123).

=====

[5]
Entry from Alexandria: a geometry-optimized K2CoHgCl6 structure (GGA-PBE).

Cell and atoms, written as POSCAR:
```
K2CoHgCl6
1.0
-4.322 -4.521 -3.555
2.735 -5.860 -3.152
-1.359 -6.412 2.530
Cl K Co Hg
6 2 1 1
direct
0.536 0.147 0.286
0.030 0.537 0.286
0.485 0.602 0.817
0.147 0.030 0.286
0.602 0.096 0.817
0.096 0.485 0.817
0.563 0.563 0.311
0.069 0.069 0.793
0.316 0.316 0.051
0.816 0.816 0.551
```

## Properties
The value obtained for the formation energy without anion corrections is -1.07 eV per atom. The symmetry is R-3 (148).

=====

[6]
Entry from Alexandria: a geometry-optimized KLi2AlCl structure (GGA-PBE).

Cell and atoms, written as POSCAR:
```
KLi2AlCl
1.0
-0.998 5.738 -1.234
-5.872 -0.518 2.337
2.014 1.510 5.395
Al Cl Li K
1 1 2 1
direct
0.000 0.500 0.000
0.500 0.500 0.500
0.500 0.000 0.000
0.000 0.000 0.500
0.000 0.000 0.000
```

## Properties
The value obtained for the formation energy without anion corrections is 0.66 eV per atom. The symmetry is P4/mmm (123).

=====

[7]
Entry from Alexandria: a geometry-optimized Pm4Sm structure (GGA-PBE).

Cell and atoms, written as POSCAR:
```
Pm4Sm
1.0
-2.350 1.002 2.602
1.100 0.218 3.470
3.344 14.629 -0.069
Sm Pm
1 4
direct
0.000 0.000 0.000
0.601 0.601 0.199
0.399 0.399 0.801
0.200 0.200 0.400
0.800 0.800 0.600
```

## Properties
The energy above the most stable polymorph in this dataset comes out at 0.0 meV per atom. The symmetry is R-3m (166).

=====

[8]
Entry from Alexandria: a geometry-optimized PuMgHgRu structure (GGA-PBE).

Cell and atoms, written as POSCAR:
```
PuMgHgRu
1.0
-2.796 0.012 -4.008
2.068 -0.221 -4.422
-0.424 -4.054 -2.695
Pu Hg Ru Mg
1 1 1 1
direct
0.000 0.000 0.000
0.250 0.250 0.250
0.750 0.750 0.750
0.500 0.500 0.500
```

## Properties
The symmetry is F-43m (216).

=====

Number 1: total energy -4.43 eV per atom. Number 2: total energy -5.07 eV per atom. Number 3: total energy -4.60 eV per atom. Number 4: total energy -5.98 eV per atom. Number 5: total energy -3.14 eV per atom. Number 6: total energy -1.45 eV per atom. Number 7: total energy -4.73 eV per atom. Number 8: total energy -6.30 eV per atom.